Record 1
Computed, not measured: a geometry-optimized Tb8HoIr6 structure at the PBE level of DFT.

a b c (Å): 7.698 7.698 7.698
angles (deg): 65.25 65.25 65.25
Atoms (fractional coordinates):
Tb: 0.056 0.387 0.720
Tb: 0.167 0.167 0.167
Tb: 0.280 0.944 0.613
Tb: 0.387 0.720 0.056
Tb: 0.613 0.280 0.944
Tb: 0.720 0.056 0.387
Tb: 0.833 0.833 0.833
Tb: 0.944 0.613 0.280
Ho: 0.500 0.500 0.500
Ir: 0.111 0.776 0.444
Ir: 0.224 0.556 0.889
Ir: 0.444 0.111 0.776
Ir: 0.556 0.889 0.224
Ir: 0.776 0.444 0.111
Ir: 0.889 0.224 0.556

Computed properties:
Energy of formation, meV per atom: -770

Record 2
Computed, not measured: a geometry-optimized Ba2YInO structure at the PBE level of DFT.

a b c (Å): 5.293 5.293 5.690
angles (deg): 90.00 90.00 90.00
Atoms (fractional coordinates):
Ba: 0.000 0.500 0.000
Ba: 0.500 0.000 0.000
Y: 0.000 0.000 0.500
In: 0.500 0.500 0.500
O: 0.500 0.500 0.000

Computed properties:
Offset from the most stable computed form, meV/atom: 488

Record 3
Computed, not measured: a geometry-optimized TbCd5Ag structure at the PBE level of DFT.

a b c (Å): 4.811 4.811 7.236
angles (deg): 90.00 90.00 90.00
Atoms (fractional coordinates):
Tb: 0.000 0.000 0.000
Cd: 0.000 0.500 0.287
Cd: 0.000 0.500 0.713
Cd: 0.500 0.000 0.287
Cd: 0.500 0.000 0.713
Cd: 0.500 0.500 0.000
Ag: 0.000 0.000 0.500

Computed properties:
Energy of formation, meV per atom: -172

Record 4
Computed, not measured: a geometry-optimized Ba2Ag3BiO6 structure at the PBE level of DFT.

a b c (Å): 4.148 4.148 12.742
angles (deg): 90.00 90.00 90.00
Atoms (fractional coordinates):
Ba: 0.000 0.000 0.202
Ba: 0.000 0.000 0.798
Ag: 0.500 0.500 0.000
Ag: 0.500 0.500 0.361
Ag: 0.500 0.500 0.639
Bi: 0.000 0.000 0.500
O: 0.000 0.500 0.381
O: 0.000 0.500 0.619
O: 0.500 0.000 0.381
O: 0.500 0.000 0.619
O: 0.500 0.500 0.161
O: 0.500 0.500 0.839

Record 5
Computed, not measured: a geometry-optimized ZrPH structure at the PBE level of DFT.

a b c (Å): 3.596 5.017 5.019
angles (deg): 90.82 110.35 110.51
Atoms (fractional coordinates):
Zr: 0.000 0.000 0.000
Zr: 0.003 0.490 0.507
P: 0.342 0.084 0.592
P: 0.364 0.567 0.083
H: 0.324 0.788 0.286
H: 0.668 0.657 0.669

Computed properties:
Offset from the most stable computed form, meV/atom: 223

Record 6
Computed, not measured: a geometry-optimized BaNaBi3 structure at the PBE level of DFT.

a b c (Å): 5.674 5.674 5.674
angles (deg): 90.00 90.00 90.00
Atoms (fractional coordinates):
Ba: 0.000 0.000 0.000
Na: 0.500 0.500 0.500
Bi: 0.000 0.500 0.500
Bi: 0.500 0.000 0.500
Bi: 0.500 0.500 0.000

Computed properties:
Offset from the most stable computed form, meV/atom: 333
Energy of formation, meV per atom: -100

Record 7
Computed, not measured: a geometry-optimized PmEuSbAu structure at the PBE level of DFT.

a b c (Å): 5.381 5.381 5.381
angles (deg): 60.00 60.00 60.00
Atoms (fractional coordinates):
Pm: 0.000 0.000 0.000
Eu: 0.500 0.500 0.500
Sb: 0.750 0.750 0.750
Au: 0.250 0.250 0.250

Record 8
Computed, not measured: a geometry-optimized Cs2ScAs2O6 structure at the PBE level of DFT.

a b c (Å): 5.943 5.943 7.423
angles (deg): 112.20 112.20 60.05
Atoms (fractional coordinates):
Cs: 0.218 0.218 0.171
Cs: 0.782 0.782 0.829
Sc: 0.000 0.000 0.500
As: 0.422 0.422 0.765
As: 0.578 0.578 0.235
O: 0.231 0.231 0.635
O: 0.251 0.731 0.696
O: 0.269 0.749 0.304
O: 0.731 0.251 0.696
O: 0.749 0.269 0.304
O: 0.769 0.769 0.365

Record 9
Computed, not measured: a geometry-optimized NaCeHgTe structure at the PBE level of DFT.

a b c (Å): 5.389 5.389 5.389
angles (deg): 60.00 60.00 60.00
Atoms (fractional coordinates):
Na: 0.000 0.000 0.000
Ce: 0.500 0.500 0.500
Hg: 0.750 0.750 0.750
Te: 0.250 0.250 0.250

Record 10
Computed, not measured: a geometry-optimized KInF2 structure at the PBE level of DFT.

a b c (Å): 7.873 7.873 7.873
angles (deg): 27.07 27.07 27.07
Atoms (fractional coordinates):
K: 0.000 0.000 0.000
In: 0.500 0.500 0.500
F: 0.401 0.401 0.401
F: 0.599 0.599 0.599

Computed properties:
Offset from the most stable computed form, meV/atom: 24

Record 11
Computed, not measured: a geometry-optimized Si3Te structure at the PBE level of DFT.

a b c (Å): 3.633 3.633 6.899
angles (deg): 90.00 90.00 120.00
Atoms (fractional coordinates):
Si: 0.000 0.000 0.000
Si: 0.333 0.667 0.203
Si: 0.333 0.667 0.797
Te: 0.000 0.000 0.500

Computed properties:
Offset from the most stable computed form, meV/atom: 120

Record 12
Computed, not measured: a geometry-optimized Tl2CuI4 structure at the PBE level of DFT.

a b c (Å): 8.508 8.508 8.447
angles (deg): 117.79 117.79 31.02
Atoms (fractional coordinates):
Tl: 0.219 0.219 0.224
Tl: 0.781 0.781 0.776
Cu: 0.500 0.500 0.500
I: 0.118 0.118 0.749
I: 0.402 0.402 0.668
I: 0.598 0.598 0.332
I: 0.882 0.882 0.251

Computed properties:
Offset from the most stable computed form, meV/atom: 80

| no. | total energy (eV/atom) | mass density (g/cm3) |
| --- | --- | --- |
| 1 | -7.09 | 12.0 |
| 2 | -4.31 | 5.2 |
| 3 | -1.89 | 8.2 |
| 4 | -4.93 | 6.8 |
| 5 | -6.57 | 5.2 |
| 6 | -3.08 | 7.2 |
| 7 | -6.45 | 9.3 |
| 8 | -6.12 | 4.5 |
| 9 | -3.25 | 7.4 |
| 10 | -3.99 | 3.6 |
| 11 | -4.46 | 4.5 |
| 12 | -2.48 | 5.9 |